# ErMnFeO4

A relaxed ErMnFeO4 crystal (PBE with a Hubbard U, the Alexandria database).

uncorrected energy = -7.629 eV/atom
SG = No. 160

abc: 8.889 8.889 8.889
angles: 22.79 22.79 22.79
Atoms (fractional coordinates):
Er1 0.000 0.000 0.000
Mn1 0.213 0.213 0.213
Fe1 0.781 0.781 0.781
O1 0.115 0.115 0.115
O2 0.293 0.293 0.293
O3 0.706 0.706 0.706
O4 0.858 0.858 0.858